Here is an optimized crystal structure of BaSrIr2 from Alexandria via LeMat-Bulk. Energies are from GGA-PBE.

Output
Relative energy among the computed polymorphs = 597.0 meV per atom
Mass density = 10.24 Mg/m³

a = 5.417 Å, b = 5.417 Å, c = 3.467 Å
α = 90.00°, β = 90.00°, γ = 103.81°
Element x y z (fractional)
Ba (0.000, 0.500, 0.500)
Ir (0.000, 0.000, 0.000)
Ir (0.500, 0.500, 0.000)
Sr (0.500, 0.000, 0.500)